No. 1
! Ce6GePb2 PBE-GGA relaxed; values from VASP
&SYSTEM
  ibrav = 0, nat = 9, ntyp = 3
/
ATOMIC_SPECIES
Ce 140.12 Ce.upf
Ge 72.64 Ge.upf
Pb 207.20 Pb.upf
ATOMIC_POSITIONS crystal
Ce 0.0000 0.0000 0.0000
Ce 0.0000 0.4642 0.6562
Ce 0.0000 0.6562 0.4642
Ce 0.5000 0.1007 0.7136
Ce 0.5000 0.2294 0.2294
Ce 0.5000 0.7136 0.1007
Ge 0.5000 0.7506 0.7506
Pb 0.0000 0.0158 0.3898
Pb 0.0000 0.3898 0.0158
CELL_PARAMETERS angstrom
4.2159 0.0000 0.0000
0.0000 7.2250 4.3127
0.0000 -7.2250 4.3127
! energy relative to the elements: -37 kJ/mol of atoms

=====

No. 2
! ThSe4 PBE-GGA relaxed; values from VASP
&SYSTEM
  ibrav = 0, nat = 5, ntyp = 2
/
ATOMIC_SPECIES
Th 232.04 Th.upf
Se 78.96 Se.upf
ATOMIC_POSITIONS crystal
Th 0.0000 0.0000 0.0000
Se 0.0000 0.0000 0.5000
Se 0.0000 0.5000 0.0000
Se 0.5000 0.0000 0.0000
Se 0.5000 0.5000 0.5000
CELL_PARAMETERS angstrom
5.7035 0.0000 0.0000
0.0000 5.7035 0.0000
0.0000 0.0000 5.7035
! E_form (uncorrected): -212 meV per atom

=====

No. 3
! Hf2AgHgO PBE-GGA relaxed; values from VASP
&SYSTEM
  ibrav = 0, nat = 5, ntyp = 4
/
ATOMIC_SPECIES
Hf 178.49 Hf.upf
Ag 107.87 Ag.upf
Hg 200.59 Hg.upf
O 16.00 O.upf
ATOMIC_POSITIONS crystal
Hf 0.0000 0.5000 0.0000
Hf 0.5000 0.0000 0.0000
Ag 0.0000 0.0000 0.0000
Hg 0.0000 0.0000 0.5000
O 0.5000 0.5000 0.5000
CELL_PARAMETERS angstrom
5.1131 0.0000 0.0000
0.0000 5.1131 0.0000
0.0000 0.0000 5.0291
! E_form (uncorrected): 1268 meV per atom

=====

No. 4
! KSmCu2Cl8 PBE-GGA relaxed; values from VASP
&SYSTEM
  ibrav = 0, nat = 12, ntyp = 4
/
ATOMIC_SPECIES
K 39.10 K.upf
Sm 150.36 Sm.upf
Cu 63.55 Cu.upf
Cl 35.45 Cl.upf
ATOMIC_POSITIONS crystal
K 0.0000 0.0000 0.0000
Sm 0.7500 0.2500 0.5000
Cu 0.2500 0.7500 0.5000
Cu 0.5000 0.5000 0.0000
Cl 0.0225 0.9622 0.6090
Cl 0.0378 0.6468 0.0603
Cl 0.1473 0.2881 0.6028
Cl 0.3532 0.4135 0.3910
Cl 0.4556 0.8527 0.1408
Cl 0.5865 0.9775 0.9397
Cl 0.6852 0.5444 0.3972
Cl 0.7119 0.3148 0.8592
CELL_PARAMETERS angstrom
-3.2656 3.2656 7.1970
3.2656 -3.2656 7.1970
3.2656 3.2656 -7.1970
! E_form (uncorrected): -1259 meV per atom

=====

No. 5
! YAl2 PBE-GGA relaxed; values from VASP
&SYSTEM
  ibrav = 0, nat = 12, ntyp = 2
/
ATOMIC_SPECIES
Y 88.91 Y.upf
Al 26.98 Al.upf
ATOMIC_POSITIONS crystal
Y 0.0000 0.0000 0.2500
Y 0.0000 0.0000 0.7500
Y 0.5000 0.5000 0.2500
Y 0.5000 0.5000 0.7500
Al 0.1836 0.3164 0.0000
Al 0.1836 0.6836 0.5000
Al 0.3164 0.1836 0.5000
Al 0.3164 0.8164 0.0000
Al 0.6836 0.1836 0.0000
Al 0.6836 0.8164 0.5000
Al 0.8164 0.3164 0.5000
Al 0.8164 0.6836 0.0000
CELL_PARAMETERS angstrom
5.3749 0.0000 0.0000
0.0000 5.3749 0.0000
0.0000 0.0000 9.7419
! energy relative to the elements: -9 kJ/mol of atoms

=====

No. 6
! Bi3P5S12 PBE-GGA relaxed; values from VASP
&SYSTEM
  ibrav = 0, nat = 80, ntyp = 3
/
ATOMIC_SPECIES
Bi 208.98 Bi.upf
P 30.97 P.upf
S 32.06 S.upf
ATOMIC_POSITIONS crystal
Bi 0.1250 0.2500 0.3750
Bi 0.1250 0.3750 0.7500
Bi 0.2500 0.3750 0.1250
Bi 0.2500 0.8750 0.6250
Bi 0.3750 0.1250 0.2500
Bi 0.3750 0.7500 0.1250
Bi 0.6250 0.2500 0.8750
Bi 0.6250 0.8750 0.7500
Bi 0.7500 0.1250 0.3750
Bi 0.7500 0.6250 0.8750
Bi 0.8750 0.6250 0.2500
Bi 0.8750 0.7500 0.6250
P 0.0000 0.0000 0.0000
P 0.0000 0.0000 0.5000
P 0.0000 0.5000 0.0000
P 0.0000 0.5000 0.5000
P 0.1250 0.7500 0.8750
P 0.1250 0.8750 0.2500
P 0.2500 0.1250 0.8750
P 0.2500 0.6250 0.3750
P 0.3750 0.2500 0.6250
P 0.3750 0.6250 0.7500
P 0.5000 0.0000 0.0000
P 0.5000 0.0000 0.5000
P 0.5000 0.5000 0.0000
P 0.5000 0.5000 0.5000
P 0.6250 0.3750 0.2500
P 0.6250 0.7500 0.3750
P 0.7500 0.3750 0.6250
P 0.7500 0.8750 0.1250
P 0.8750 0.1250 0.7500
P 0.8750 0.2500 0.1250
S 0.0183 0.2036 0.1176
S 0.0183 0.3147 0.9008
S 0.0860 0.7036 0.6853
S 0.0860 0.8824 0.4008
S 0.0992 0.6176 0.4140
S 0.0992 0.9817 0.6853
S 0.1176 0.0183 0.2036
S 0.1176 0.5992 0.9140
S 0.1853 0.2036 0.5860
S 0.1853 0.4817 0.5992
S 0.2036 0.1176 0.0183
S 0.2036 0.5860 0.1853
S 0.2964 0.3147 0.9140
S 0.2964 0.4817 0.3824
S 0.3147 0.9008 0.0183
S 0.3147 0.9140 0.2964
S 0.3824 0.2964 0.4817
S 0.3824 0.5860 0.9008
S 0.4008 0.0860 0.8824
S 0.4008 0.8147 0.5183
S 0.4140 0.0992 0.6176
S 0.4140 0.8147 0.7964
S 0.4817 0.3824 0.2964
S 0.4817 0.5992 0.1853
S 0.5183 0.4008 0.8147
S 0.5183 0.6176 0.7036
S 0.5860 0.1853 0.2036
S 0.5860 0.9008 0.3824
S 0.5992 0.1853 0.4817
S 0.5992 0.9140 0.1176
S 0.6176 0.4140 0.0992
S 0.6176 0.7036 0.5183
S 0.6853 0.0860 0.7036
S 0.6853 0.0992 0.9817
S 0.7036 0.5183 0.6176
S 0.7036 0.6853 0.0860
S 0.7964 0.4140 0.8147
S 0.7964 0.8824 0.9817
S 0.8147 0.5183 0.4008
S 0.8147 0.7964 0.4140
S 0.8824 0.4008 0.0860
S 0.8824 0.9817 0.7964
S 0.9008 0.0183 0.3147
S 0.9008 0.3824 0.5860
S 0.9140 0.1176 0.5992
S 0.9140 0.2964 0.3147
S 0.9817 0.6853 0.0992
S 0.9817 0.7964 0.8824
CELL_PARAMETERS angstrom
-7.6430 7.6430 7.6430
7.6430 -7.6430 7.6430
7.6430 7.6430 -7.6430
! E_form (uncorrected): 80 meV per atom

=====

No. 7
! KZnCd2Ni PBE-GGA relaxed; values from VASP
&SYSTEM
  ibrav = 0, nat = 5, ntyp = 4
/
ATOMIC_SPECIES
K 39.10 K.upf
Zn 65.41 Zn.upf
Cd 112.41 Cd.upf
Ni 58.69 Ni.upf
ATOMIC_POSITIONS crystal
K 0.0000 0.0000 0.0000
Zn 0.5000 0.5000 0.0000
Cd 0.0000 0.5000 0.5000
Cd 0.5000 0.0000 0.5000
Ni 0.5000 0.5000 0.5000
CELL_PARAMETERS angstrom
5.1091 0.0000 0.0000
0.0000 5.1091 0.0000
0.0000 0.0000 4.7951
! energy relative to the elements: -1 kJ/mol of atoms

=====

No. 8
! ZrAlCu PBE-GGA relaxed; values from VASP
&SYSTEM
  ibrav = 0, nat = 12, ntyp = 3
/
ATOMIC_SPECIES
Zr 91.22 Zr.upf
Al 26.98 Al.upf
Cu 63.55 Cu.upf
ATOMIC_POSITIONS crystal
Zr 0.2500 0.0897 0.1878
Zr 0.2500 0.4103 0.1878
Zr 0.7500 0.5897 0.8122
Zr 0.7500 0.9103 0.8122
Al 0.2500 0.1149 0.7124
Al 0.2500 0.3851 0.7124
Al 0.7500 0.6149 0.2876
Al 0.7500 0.8851 0.2876
Cu 0.2500 0.6281 0.5215
Cu 0.2500 0.8719 0.5215
Cu 0.7500 0.1281 0.4785
Cu 0.7500 0.3719 0.4785
CELL_PARAMETERS angstrom
4.1099 0.0000 0.0000
0.0000 9.6762 0.0000
0.0000 0.0000 5.9224
! energy relative to the elements: 16 kJ/mol of atoms

=====

No. 9
! SrBeRh2 PBE-GGA relaxed; values from VASP
&SYSTEM
  ibrav = 0, nat = 8, ntyp = 3
/
ATOMIC_SPECIES
Sr 87.62 Sr.upf
Be 9.01 Be.upf
Rh 102.91 Rh.upf
ATOMIC_POSITIONS crystal
Sr 0.0000 0.0000 0.0000
Sr 0.5000 0.5000 0.0000
Be 0.0000 0.5000 0.0000
Be 0.5000 0.0000 0.0000
Rh 0.2500 0.2500 0.5000
Rh 0.2500 0.7500 0.5000
Rh 0.7500 0.2500 0.5000
Rh 0.7500 0.7500 0.5000
CELL_PARAMETERS angstrom
5.8421 0.0000 0.0000
0.0000 8.8211 0.0000
-1.3272 0.0000 2.6149
! energy relative to the elements: 33 kJ/mol of atoms

=====

No. 10
! NdCo2GeP PBE-GGA relaxed; values from VASP
&SYSTEM
  ibrav = 0, nat = 10, ntyp = 4
/
ATOMIC_SPECIES
Nd 144.24 Nd.upf
Co 58.93 Co.upf
Ge 72.64 Ge.upf
P 30.97 P.upf
ATOMIC_POSITIONS crystal
Nd 0.0673 0.9327 0.7500
Nd 0.9327 0.0673 0.2500
Co 0.3201 0.6799 0.5650
Co 0.3201 0.6799 0.9350
Co 0.6799 0.3201 0.0650
Co 0.6799 0.3201 0.4350
Ge 0.2233 0.7767 0.2500
Ge 0.7767 0.2233 0.7500
P 0.5000 0.5000 0.0000
P 0.5000 0.5000 0.5000
CELL_PARAMETERS angstrom
2.0539 -5.7540 0.0000
2.0539 5.7540 0.0000
0.0000 0.0000 7.0697
! energy relative to the elements: -58 kJ/mol of atoms

=====

No. 11
! AcMg2GaIr2 PBE-GGA relaxed; values from VASP
&SYSTEM
  ibrav = 0, nat = 6, ntyp = 4
/
ATOMIC_SPECIES
Ac 227.00 Ac.upf
Mg 24.30 Mg.upf
Ga 69.72 Ga.upf
Ir 192.22 Ir.upf
ATOMIC_POSITIONS crystal
Ac 0.0000 0.0000 0.0000
Mg 0.5000 0.5000 0.2608
Mg 0.5000 0.5000 0.7392
Ga 0.0000 0.0000 0.5000
Ir 0.0000 0.5000 0.5000
Ir 0.5000 0.0000 0.5000
CELL_PARAMETERS angstrom
4.7045 0.0000 0.0000
0.0000 4.7045 0.0000
0.0000 0.0000 6.2315
! energy relative to the elements: -18 kJ/mol of atoms

=====

No. 12
! Sm3CuTeCl PBE-GGA relaxed; values from VASP
&SYSTEM
  ibrav = 0, nat = 12, ntyp = 4
/
ATOMIC_SPECIES
Sm 150.36 Sm.upf
Cu 63.55 Cu.upf
Te 127.60 Te.upf
Cl 35.45 Cl.upf
ATOMIC_POSITIONS crystal
Sm 0.2189 0.2500 0.0128
Sm 0.2350 0.2500 0.6192
Sm 0.2455 0.7500 0.3119
Sm 0.7545 0.2500 0.6881
Sm 0.7650 0.7500 0.3808
Sm 0.7811 0.7500 0.9872
Cu 0.4941 0.7500 0.5581
Cu 0.5059 0.2500 0.4419
Te 0.0684 0.7500 0.8039
Te 0.9316 0.2500 0.1961
Cl 0.4746 0.7500 0.1281
Cl 0.5254 0.2500 0.8719
CELL_PARAMETERS angstrom
7.3709 0.0000 0.0000
0.0000 4.0652 0.0000
-2.0278 0.0000 10.8502
! E_form (uncorrected): -951 meV per atom

=====

No. 13
! LiCeZnGa PBE-GGA relaxed; values from VASP
&SYSTEM
  ibrav = 0, nat = 16, ntyp = 4
/
ATOMIC_SPECIES
Li 6.94 Li.upf
Ce 140.12 Ce.upf
Zn 65.41 Zn.upf
Ga 69.72 Ga.upf
ATOMIC_POSITIONS crystal
Li 0.0000 0.0000 0.0000
Li 0.0000 0.5000 0.5000
Li 0.5000 0.0000 0.5000
Li 0.5000 0.5000 0.0000
Ce 0.0000 0.0000 0.5000
Ce 0.0000 0.5000 0.0000
Ce 0.5000 0.0000 0.0000
Ce 0.5000 0.5000 0.5000
Zn 0.2500 0.2500 0.7500
Zn 0.2500 0.7500 0.2500
Zn 0.7500 0.2500 0.2500
Zn 0.7500 0.7500 0.7500
Ga 0.2500 0.2500 0.2500
Ga 0.2500 0.7500 0.7500
Ga 0.7500 0.2500 0.7500
Ga 0.7500 0.7500 0.2500
CELL_PARAMETERS angstrom
6.8764 0.0000 0.0000
0.0000 6.8764 0.0000
0.0000 0.0000 6.8764
! energy relative to the elements: -31 kJ/mol of atoms

=====

No. 14
! LiPuU2S4 PBE-GGA relaxed; values from VASP
&SYSTEM
  ibrav = 0, nat = 8, ntyp = 4
/
ATOMIC_SPECIES
Li 6.94 Li.upf
Pu 244.00 Pu.upf
U 238.03 U.upf
S 32.06 S.upf
ATOMIC_POSITIONS crystal
Li 0.0000 0.0000 0.0000
Pu 0.5000 0.5000 0.0000
U 0.0000 0.5000 0.5000
U 0.5000 0.0000 0.5000
S 0.2400 0.5000 0.2441
S 0.2445 0.0000 0.7536
S 0.7555 0.0000 0.2464
S 0.7600 0.5000 0.7559
CELL_PARAMETERS angstrom
6.6049 0.0000 0.0000
0.0000 3.8095 0.0000
-2.2273 0.0000 6.5080
! E_form (uncorrected): -1441 meV per atom

=====

No. 15
! Ca3Pb PBE-GGA relaxed; values from VASP
&SYSTEM
  ibrav = 0, nat = 4, ntyp = 2
/
ATOMIC_SPECIES
Ca 40.08 Ca.upf
Pb 207.20 Pb.upf
ATOMIC_POSITIONS crystal
Ca 0.0000 0.0000 0.0000
Ca 0.5000 0.5000 0.2794
Ca 0.5000 0.5000 0.7206
Pb 0.0000 0.0000 0.5000
CELL_PARAMETERS angstrom
3.8381 0.0000 0.0000
0.0000 4.7966 0.0000
0.0000 0.0000 7.4786
! energy relative to the elements: -27 kJ/mol of atoms

=====

No. 16
! SrAl2 PBE-GGA relaxed; values from VASP
&SYSTEM
  ibrav = 0, nat = 12, ntyp = 2
/
ATOMIC_SPECIES
Sr 87.62 Sr.upf
Al 26.98 Al.upf
ATOMIC_POSITIONS crystal
Sr 0.0000 0.2334 0.2500
Sr 0.0000 0.7666 0.7500
Sr 0.5000 0.2666 0.7500
Sr 0.5000 0.7334 0.2500
Al 0.2019 0.3455 0.7500
Al 0.2019 0.6545 0.2500
Al 0.2981 0.1545 0.2500
Al 0.2981 0.8455 0.7500
Al 0.7019 0.1545 0.2500
Al 0.7019 0.8455 0.7500
Al 0.7981 0.3455 0.7500
Al 0.7981 0.6545 0.2500
CELL_PARAMETERS angstrom
11.8611 0.0000 0.0000
0.0000 5.4059 0.0000
0.0000 0.0000 4.6965
! energy relative to the elements: -9 kJ/mol of atoms

=====

No. 17
! Np2MnNi12As3 PBE-GGA relaxed; values from VASP
&SYSTEM
  ibrav = 0, nat = 18, ntyp = 4
/
ATOMIC_SPECIES
Np 237.00 Np.upf
Mn 54.94 Mn.upf
Ni 58.69 Ni.upf
As 74.92 As.upf
ATOMIC_POSITIONS crystal
Np 0.0947 0.0947 0.0947
Np 0.9053 0.9053 0.9053
Mn 0.5000 0.5000 0.5000
Ni 0.1226 0.1226 0.5622
Ni 0.1226 0.5622 0.1226
Ni 0.1836 0.6940 0.6940
Ni 0.3060 0.3060 0.8164
Ni 0.3060 0.8164 0.3060
Ni 0.4378 0.8774 0.8774
Ni 0.5622 0.1226 0.1226
Ni 0.6940 0.1836 0.6940
Ni 0.6940 0.6940 0.1836
Ni 0.8164 0.3060 0.3060
Ni 0.8774 0.4378 0.8774
Ni 0.8774 0.8774 0.4378
As 0.0000 0.5000 0.5000
As 0.5000 0.0000 0.5000
As 0.5000 0.5000 0.0000
CELL_PARAMETERS angstrom
4.1917 2.4201 4.0474
-4.1917 2.4201 4.0474
0.0000 -4.8401 4.0474
! energy relative to the elements: 4 kJ/mol of atoms

=====

No. 18
! RbGa2Co PBE-GGA relaxed; values from VASP
&SYSTEM
  ibrav = 0, nat = 16, ntyp = 3
/
ATOMIC_SPECIES
Rb 85.47 Rb.upf
Ga 69.72 Ga.upf
Co 58.93 Co.upf
ATOMIC_POSITIONS crystal
Rb 0.0000 0.2500 0.3750
Rb 0.0000 0.7500 0.6250
Rb 0.5000 0.2500 0.1250
Rb 0.5000 0.7500 0.8750
Ga 0.0000 0.0000 0.0000
Ga 0.0000 0.5000 0.0000
Ga 0.2500 0.2500 0.7500
Ga 0.2500 0.7500 0.2500
Ga 0.5000 0.0000 0.5000
Ga 0.5000 0.5000 0.5000
Ga 0.7500 0.2500 0.7500
Ga 0.7500 0.7500 0.2500
Co 0.0000 0.2500 0.8750
Co 0.0000 0.7500 0.1250
Co 0.5000 0.2500 0.6250
Co 0.5000 0.7500 0.3750
CELL_PARAMETERS angstrom
6.2126 0.0000 0.0000
0.0000 6.2126 0.0000
0.0000 0.0000 12.9526
! energy relative to the elements: 9 kJ/mol of atoms

=====

No. 19
! AgPSe2 PBE-GGA relaxed; values from VASP
&SYSTEM
  ibrav = 0, nat = 4, ntyp = 3
/
ATOMIC_SPECIES
Ag 107.87 Ag.upf
P 30.97 P.upf
Se 78.96 Se.upf
ATOMIC_POSITIONS crystal
Ag 0.0000 0.0000 0.0000
P 0.0000 0.0000 0.5000
Se 0.0188 0.5000 0.7380
Se 0.9812 0.5000 0.2620
CELL_PARAMETERS angstrom
2.8158 0.0000 0.0000
0.0000 3.7832 0.0000
-0.2036 0.0000 7.6936
! E_form (uncorrected): 187 meV per atom

=====

No. 20
! Pm2GdSn PBE-GGA relaxed; values from VASP
&SYSTEM
  ibrav = 0, nat = 4, ntyp = 3
/
ATOMIC_SPECIES
Pm 145.00 Pm.upf
Gd 157.25 Gd.upf
Sn 118.71 Sn.upf
ATOMIC_POSITIONS crystal
Pm 0.0000 0.0000 0.2291
Pm 0.0000 0.0000 0.7709
Gd 0.5000 0.5000 0.5000
Sn 0.5000 0.5000 0.0000
CELL_PARAMETERS angstrom
4.2389 0.0000 0.0000
0.0000 4.2389 0.0000
0.0000 0.0000 6.7965
! energy relative to the elements: -35 kJ/mol of atoms